Record 1
Material: LiDy2TeO6
Method: DFT, PBE-GGA
State: relaxed

Output
- total magnetization (Bohr magnetons per cell) = 0.6
- total DFT energy (no corrections) (eV/atom) = -6.790
- formation energy from raw total energies (eV/f.u.) = -23.89

a b c (Å): 5.985 5.985 5.985
angles (deg): 56.31 56.31 56.31
Element x y z (fractional)
Li: 0.000 0.000 0.000
Dy: 0.258 0.258 0.258
Dy: 0.764 0.764 0.764
Te: 0.466 0.466 0.466
O: 0.100 0.662 0.363
O: 0.193 0.567 0.836
O: 0.363 0.100 0.662
O: 0.567 0.836 0.193
O: 0.662 0.363 0.100
O: 0.836 0.193 0.567

=====

Record 2
Material: Li3Dy3Te2O12
Method: DFT, PBE-GGA
State: relaxed

Output
- total magnetization (Bohr magnetons per cell) = 0.0
- total DFT energy (no corrections) (eV/atom) = -6.620
- formation energy from raw total energies (eV/f.u.) = -47.06

a b c (Å): 10.751 10.751 10.751
angles (deg): 109.47 109.47 109.47
Element x y z (fractional)
Li: 0.125 0.750 0.875
Li: 0.125 0.875 0.250
Li: 0.250 0.125 0.875
Li: 0.250 0.625 0.375
Li: 0.375 0.250 0.625
Li: 0.375 0.625 0.750
Li: 0.625 0.375 0.250
Li: 0.625 0.750 0.375
Li: 0.750 0.375 0.625
Li: 0.750 0.875 0.125
Li: 0.875 0.125 0.750
Li: 0.875 0.250 0.125
Dy: 0.125 0.250 0.375
Dy: 0.125 0.375 0.750
Dy: 0.250 0.375 0.125
Dy: 0.250 0.875 0.625
Dy: 0.375 0.125 0.250
Dy: 0.375 0.750 0.125
Dy: 0.625 0.250 0.875
Dy: 0.625 0.875 0.750
Dy: 0.750 0.125 0.375
Dy: 0.750 0.625 0.875
Dy: 0.875 0.625 0.250
Dy: 0.875 0.750 0.625
Te: 0.000 0.000 0.000
Te: 0.000 0.000 0.500
Te: 0.000 0.500 0.000
Te: 0.000 0.500 0.500
Te: 0.500 0.000 0.000
Te: 0.500 0.000 0.500
Te: 0.500 0.500 0.000
Te: 0.500 0.500 0.500
O: 0.028 0.199 0.121
O: 0.028 0.328 0.907
O: 0.079 0.699 0.672
O: 0.079 0.879 0.407
O: 0.093 0.621 0.421
O: 0.093 0.972 0.672
O: 0.121 0.028 0.199
O: 0.121 0.593 0.921
O: 0.172 0.199 0.579
O: 0.172 0.472 0.593
O: 0.199 0.121 0.028
O: 0.199 0.579 0.172
O: 0.301 0.328 0.921
O: 0.301 0.472 0.379
O: 0.328 0.907 0.028
O: 0.328 0.921 0.301
O: 0.379 0.301 0.472
O: 0.379 0.579 0.907
O: 0.407 0.079 0.879
O: 0.407 0.828 0.528
O: 0.421 0.093 0.621
O: 0.421 0.828 0.801
O: 0.472 0.379 0.301
O: 0.472 0.593 0.172
O: 0.528 0.407 0.828
O: 0.528 0.621 0.699
O: 0.579 0.172 0.199
O: 0.579 0.907 0.379
O: 0.593 0.172 0.472
O: 0.593 0.921 0.121
O: 0.621 0.421 0.093
O: 0.621 0.699 0.528
O: 0.672 0.079 0.699
O: 0.672 0.093 0.972
O: 0.699 0.528 0.621
O: 0.699 0.672 0.079
O: 0.801 0.421 0.828
O: 0.801 0.879 0.972
O: 0.828 0.528 0.407
O: 0.828 0.801 0.421
O: 0.879 0.407 0.079
O: 0.879 0.972 0.801
O: 0.907 0.028 0.328
O: 0.907 0.379 0.579
O: 0.921 0.121 0.593
O: 0.921 0.301 0.328
O: 0.972 0.672 0.093
O: 0.972 0.801 0.879

=====

The lowest formation energy from raw total energies belongs to which entry? Li3Dy3Te2O12

=====

Look up the formation energy from raw total energies of the second one. -47.06 eV/f.u.

=====

Look up the formation energy from raw total energies of the second one. -47.06 eV/f.u.

=====

Which formula does entry 2 have? Li3Dy3Te2O12